Record 1
Cu4NiPt3: relaxed, PBE.

a = 10.960 Å, b = 10.960 Å, c = 2.680 Å
α = 96.26°, β = 96.26°, γ = 21.36°
Fractional coordinates of all 8 atoms:
Cu 0.101 0.101 0.090
Cu 0.344 0.344 0.347
Cu 0.656 0.656 0.653
Cu 0.899 0.899 0.910
Ni 0.500 0.500 0.000
Pt 0.000 0.000 0.500
Pt 0.217 0.217 0.220
Pt 0.783 0.783 0.780

- symmetry = C2/m, No. 12
- distance to the lowest polymorph of the same formula (meV/atom) = 199.2
- magnetic moment (μB per atom) = 0.05
- ΔE_f (eV per atom) = 0.087



Record 2
Cu6Ni4Pt: relaxed, PBE.

a = 7.086 Å, b = 7.086 Å, c = 7.086 Å
α = 140.18°, β = 140.18°, γ = 57.58°
Fractional coordinates of all 11 atoms:
Cu 0.000 0.500 0.500
Cu 0.050 0.677 0.000
Cu 0.323 0.323 0.373
Cu 0.500 0.000 0.500
Cu 0.677 0.050 0.000
Cu 0.950 0.950 0.627
Ni 0.132 0.132 0.611
Ni 0.479 0.868 0.000
Ni 0.521 0.521 0.389
Ni 0.868 0.479 0.000
Pt 0.500 0.500 0.000

- symmetry = I-42m, No. 121
- magnetic moment (μB per atom) = 0.08
- ΔE_f (eV per atom) = 0.282



Record 3
Cu4NiPt7: relaxed, PBE.

a = 2.739 Å, b = 2.739 Å, c = 26.320 Å
α = 90.00°, β = 90.00°, γ = 120.00°
Fractional coordinates of all 12 atoms:
Cu 0.333 0.667 0.162
Cu 0.333 0.667 0.418
Cu 0.667 0.333 0.582
Cu 0.667 0.333 0.838
Ni 0.000 0.000 0.000
Pt 0.000 0.000 0.244
Pt 0.000 0.000 0.500
Pt 0.000 0.000 0.756
Pt 0.333 0.667 0.664
Pt 0.333 0.667 0.920
Pt 0.667 0.333 0.080
Pt 0.667 0.333 0.336

- symmetry = P-3m1, No. 164
- magnetic moment (μB per atom) = 0.00
- ΔE_f (eV per atom) = -0.109